# PBE NaMn2AlAs, relaxed
data_NaMn2AlAs
_chemical_formula_sum 'Na1 Mn2 Al1 As1'
_cell_length_a 4.7008
_cell_length_b 4.7008
_cell_length_c 5.1907
_cell_angle_alpha 90.00
_cell_angle_beta 90.00
_cell_angle_gamma 90.00
_space_group_name_H-M_alt 'P 4/m m m'
_space_group_IT_number 123
_space_group_name_Hall '-P 4 2'
loop_
_atom_site_label
_atom_site_type_symbol
_atom_site_fract_x
_atom_site_fract_y
_atom_site_fract_z
Na1 Na 0.0000 0.0000 0.0000
Mn1 Mn 0.0000 0.5000 0.5000
Al1 Al 0.5000 0.5000 0.0000
As1 As 0.0000 0.0000 0.5000
# - V: 115 Å³/cell
# - Formation enthalpy at 0 K: 0.4821 eV/atom
# - Offset from the most stable computed form: 0 kJ/mol of formula units
# - M_tot: 7.13 Bohr magnetons per cell

# PBE NaMnGa3, relaxed
data_NaMnGa3
_chemical_formula_sum 'Na1 Mn1 Ga3'
_cell_length_a 4.6837
_cell_length_b 4.6837
_cell_length_c 4.6837
_cell_angle_alpha 90.00
_cell_angle_beta 90.00
_cell_angle_gamma 90.00
_space_group_name_H-M_alt 'P m -3 m'
_space_group_IT_number 221
_space_group_name_Hall '-P 4 2 3'
loop_
_atom_site_label
_atom_site_type_symbol
_atom_site_fract_x
_atom_site_fract_y
_atom_site_fract_z
Na1 Na 0.0000 0.0000 0.0000
Mn1 Mn 0.5000 0.5000 0.5000
Ga1 Ga 0.0000 0.5000 0.5000
# - V: 103 Å³/cell
# - Formation enthalpy at 0 K: -0.0613 eV/atom
# - Offset from the most stable computed form: 0 kJ/mol of formula units
# - M_tot: 0.62 Bohr magnetons per cell

# PBE CeGaNi2, relaxed
data_CeGaNi2
_chemical_formula_sum 'Ce1 Ga1 Ni2'
_cell_length_a 3.0434
_cell_length_b 3.0434
_cell_length_c 6.7224
_cell_angle_alpha 90.00
_cell_angle_beta 90.00
_cell_angle_gamma 90.00
_space_group_name_H-M_alt 'P 4/m m m'
_space_group_IT_number 123
_space_group_name_Hall '-P 4 2'
loop_
_atom_site_label
_atom_site_type_symbol
_atom_site_fract_x
_atom_site_fract_y
_atom_site_fract_z
Ce1 Ce 0.0000 0.0000 0.0000
Ga1 Ga 0.0000 0.0000 0.5000
Ni1 Ni 0.5000 0.5000 0.3043
# - V: 62 Å³/cell
# - Formation enthalpy at 0 K: -0.3271 eV/atom
# - M_tot: 0.00 Bohr magnetons per cell

# PBE K2NaBr2, relaxed
data_K2NaBr2
_chemical_formula_sum 'K4 Na2 Br4'
_cell_length_a 9.6031
_cell_length_b 9.6031
_cell_length_c 3.9941
_cell_angle_alpha 90.00
_cell_angle_beta 90.00
_cell_angle_gamma 90.00
_space_group_name_H-M_alt 'P 4/m b m'
_space_group_IT_number 127
_space_group_name_Hall '-P 4 2ab'
loop_
_atom_site_label
_atom_site_type_symbol
_atom_site_fract_x
_atom_site_fract_y
_atom_site_fract_z
K1 K 0.1421 0.3579 0.0000
Na1 Na 0.0000 0.0000 0.0000
Br1 Br 0.1525 0.6525 0.5000
# - Uncorrected formation energy: -1.15 eV/atom
# - V: 368 Å³/cell
# - Offset from the most stable computed form: 39 kJ/mol of formula units
# - M_tot: 0.00 Bohr magnetons per cell